1.
# Tc6Sn

A relaxed structure of Tc6Sn (PBE, Alexandria).

Unit cell a=5.8607 b=5.8607 c=5.8607 alpha=109.47 beta=109.47 gamma=109.47
Last column: nearest neighbours and their distance in Å.
Element x y z (fractional)
Tc  0.2500  0.5000  0.7500  4 Tc 2.39
Tc  0.2500  0.7500  0.5000  4 Tc 2.39
Tc  0.5000  0.2500  0.7500  4 Tc 2.39
Tc  0.5000  0.7500  0.2500  4 Tc 2.39
Tc  0.7500  0.2500  0.5000  4 Tc 2.39
Tc  0.7500  0.5000  0.2500  4 Tc 2.39
Sn  0.0000  0.0000  0.0000  24 Tc 3.78

## Properties
ΔH_f (0 K) = 1.222 eV/atom
Fermi-level density of states = 8.34 states/eV/cell
Total energy = -57.648 eV for the cell shown
Space group = Im-3m, No. 229
Magnetization = 0.00 μB/f.u.

***

2.
# Tb4Pm8Th

A relaxed structure of Tb4Pm8Th (PBE, Alexandria).

Unit cell a=10.3609 b=10.3609 c=10.3609 alpha=41.82 beta=41.82 gamma=41.82
Last column: nearest neighbours and their distance in Å.
Element x y z (fractional)
Tb  0.0000  0.0000  0.0000  6 Pm 3.38, 6 Tb 3.70
Tb  0.0000  0.5000  0.5000  6 Pm 3.59-3.97, 6 Tb 3.70
Tb  0.5000  0.0000  0.5000  6 Pm 3.59-3.97, 6 Tb 3.70
Tb  0.5000  0.5000  0.0000  6 Pm 3.59-3.97, 6 Tb 3.70
Pm  0.1994  0.7526  0.7526  1 Th 3.05, 2 Pm 3.30, 1 Tb 3.38
Pm  0.2152  0.2152  0.2152  9 Pm 3.75-3.82, 3 Tb 3.97
Pm  0.2474  0.2474  0.8006  1 Th 3.05, 2 Pm 3.30, 1 Tb 3.38
Pm  0.2474  0.8006  0.2474  1 Th 3.05, 2 Pm 3.30, 1 Tb 3.38
Pm  0.7526  0.1994  0.7526  1 Th 3.05, 2 Pm 3.30, 1 Tb 3.38
Pm  0.7526  0.7526  0.1994  1 Th 3.05, 2 Pm 3.30, 1 Tb 3.38
Pm  0.7848  0.7848  0.7848  9 Pm 3.75-3.82, 3 Tb 3.97
Pm  0.8006  0.2474  0.2474  1 Th 3.05, 2 Pm 3.30, 1 Tb 3.38
Th  0.5000  0.5000  0.5000  6 Pm 3.05

## Properties
ΔH_f (0 K) = 0.224 eV/atom
Fermi-level density of states = 15.00 states/eV/cell
Total energy = -61.030 eV for the cell shown
Space group = R-3m, No. 166
Magnetization = 0.00 μB/f.u.

***

3.
# Tb4Dy5Tm3

A relaxed structure of Tb4Dy5Tm3 (PBE, Alexandria).

Unit cell a=6.1067 b=7.0560 c=8.6322 alpha=90.02 beta=90.10 gamma=90.14
Last column: nearest neighbours and their distance in Å.
Element x y z (fractional)
Tb  0.1663  0.2495  0.1672  5 Dy 3.51-3.53, 4 Tm 3.52-3.54, 3 Tb 3.53
Tb  0.3335  0.4999  0.8333  4 Tb 3.52-3.53, 5 Dy 3.52-3.53, 3 Tm 3.53
Tb  0.6665  0.5001  0.1667  4 Tb 3.52-3.53, 5 Dy 3.52-3.53, 3 Tm 3.53
Tb  0.8337  0.7505  0.8328  5 Dy 3.51-3.53, 4 Tm 3.52-3.54, 3 Tb 3.53
Dy  0.0000  0.5000  0.5000  4 Dy 3.52-3.54, 4 Tb 3.52, 4 Tm 3.53
Dy  0.3327  0.9998  0.8332  5 Tb 3.51-3.53, 4 Tm 3.52-3.53, 3 Dy 3.52-3.53
Dy  0.4989  0.7506  0.5000  3 Tm 3.51-3.53, 6 Dy 3.52-3.54, 3 Tb 3.52-3.53
Dy  0.5011  0.2494  0.5000  3 Tm 3.51-3.53, 6 Dy 3.52-3.54, 3 Tb 3.52-3.53
Dy  0.6673  0.0002  0.1668  5 Tb 3.51-3.53, 4 Tm 3.52-3.53, 3 Dy 3.52-3.53
Tm  0.0000  0.0000  0.5000  8 Dy 3.52-3.53, 2 Tb 3.52, 2 Tm 3.52
Tm  0.1670  0.7507  0.1672  5 Dy 3.51-3.53, 6 Tb 3.52-3.54, 1 Tm 3.52
Tm  0.8330  0.2493  0.8328  5 Dy 3.51-3.53, 6 Tb 3.52-3.54, 1 Tm 3.52

## Properties
ΔH_f (0 K) = 0.018 eV/atom
Offset from the most stable computed form = 0 meV per atom
Fermi-level density of states = 15.26 states/eV/cell
Total energy = -54.725 eV for the cell shown
Space group = P-1, No. 2
Magnetization = 0.00 μB/f.u.

***

4.
# GeBiN2O

A relaxed structure of GeBiN2O (PBE, Alexandria).

Unit cell a=3.8995 b=3.8995 c=3.8796 alpha=90.00 beta=90.00 gamma=90.00
Last column: nearest neighbours and their distance in Å.
Element x y z (fractional)
Ge  0.0000  0.0000  0.0000  2 O 1.94, 4 N 1.95
Bi  0.5000  0.5000  0.5000  8 N 2.75, 4 O 2.76
N  0.0000  0.5000  0.0000  2 Ge 1.95
N  0.5000  0.0000  0.0000  2 Ge 1.95
O  0.0000  0.0000  0.5000  2 Ge 1.94

## Properties
Fermi-level density of states = 3.67 states/eV/cell
Total energy = -28.717 eV for the cell shown
Space group = P4/mmm, No. 123
ΔE_f (raw) = 0.278 eV/atom
Magnetization = 0.00 μB/f.u.

***

5.
# BiNClF2

A relaxed structure of BiNClF2 (PBE, Alexandria).

Unit cell a=4.3378 b=4.3378 c=4.0885 alpha=90.00 beta=90.00 gamma=90.00
Last column: nearest neighbours and their distance in Å.
Element x y z (fractional)
Bi  0.0000  0.0000  0.0000  8 F 2.98, 4 N 3.07
N  0.5000  0.5000  0.0000  2 Cl 2.04
Cl  0.5000  0.5000  0.5000  2 N 2.04, 4 F 2.17
F  0.0000  0.5000  0.5000  2 Cl 2.17
F  0.5000  0.0000  0.5000  2 Cl 2.17

## Properties
Offset from the most stable computed form = 847 meV per atom
Fermi-level density of states = 2.21 states/eV/cell
Total energy = -15.432 eV for the cell shown
Space group = P4/mmm, No. 123
ΔE_f (raw) = 0.473 eV/atom
Magnetization = 0.00 μB/f.u.

***

6.
# BeZn2

A relaxed structure of BeZn2 (PBE, Alexandria).

Unit cell a=4.7258 b=4.7258 c=4.7258 alpha=102.63 beta=102.63 gamma=124.23
Last column: nearest neighbours and their distance in Å.
Element x y z (fractional)
Be  0.2500  0.2500  0.0000  2 Be 2.21
Be  0.7500  0.7500  0.0000  2 Be 2.21
Zn  0.1592  0.6592  0.8183  4 Be 2.48, 3 Zn 2.66-2.68
Zn  0.3408  0.1592  0.5000  4 Be 2.48, 3 Zn 2.66-2.68
Zn  0.6592  0.8408  0.5000  4 Be 2.48, 3 Zn 2.66-2.68
Zn  0.8408  0.3408  0.1817  4 Be 2.48, 3 Zn 2.66-2.68

## Properties
ΔH_f (0 K) = 0.125 eV/atom
Fermi-level density of states = 1.20 states/eV/cell
Total energy = -11.800 eV for the cell shown
Space group = I4/mcm, No. 140
Magnetization = 0.00 μB/f.u.

***

7.
# TlCd2FeRh

A relaxed structure of TlCd2FeRh (PBE, Alexandria).

Unit cell a=5.2163 b=5.2163 c=4.7138 alpha=90.00 beta=90.00 gamma=90.00
Last column: nearest neighbours and their distance in Å.
Element x y z (fractional)
Tl  0.0000  0.0000  0.0000  8 Cd 3.52, 4 Fe 3.69
Cd  0.0000  0.5000  0.5000  2 Rh 2.61
Cd  0.5000  0.0000  0.5000  2 Rh 2.61
Fe  0.5000  0.5000  0.0000  2 Rh 2.36
Rh  0.5000  0.5000  0.5000  2 Fe 2.36, 4 Cd 2.61

## Properties
ΔH_f (0 K) = 0.466 eV/atom
Fermi-level density of states = 4.71 states/eV/cell
Total energy = -17.680 eV for the cell shown
Space group = P4/mmm, No. 123
Magnetization = 3.70 μB/f.u.

***

8.
# ErAg2PbSe4

A relaxed structure of ErAg2PbSe4 (PBE, Alexandria).

Unit cell a=6.9142 b=4.1545 c=7.2447 alpha=90.00 beta=109.78 gamma=90.00
Last column: nearest neighbours and their distance in Å.
Element x y z (fractional)
Er  0.0000  0.0000  0.0000  6 Se 2.88-2.89
Ag  0.5000  0.0000  0.5000  6 Se 2.91-2.94
Ag  0.5000  0.5000  0.0000  6 Se 2.82-2.83
Pb  0.0000  0.5000  0.5000  6 Se 2.98-2.99
Se  0.2518  0.5000  0.2383  3 Ag 2.82-2.94, 2 Er 2.88, 1 Pb 2.98
Se  0.2633  0.0000  0.7640  3 Ag 2.83-2.91, 1 Er 2.89, 2 Pb 2.99
Se  0.7367  0.0000  0.2360  3 Ag 2.83-2.91, 1 Er 2.89, 2 Pb 2.99
Se  0.7482  0.5000  0.7617  3 Ag 2.82-2.94, 2 Er 2.88, 1 Pb 2.98

## Properties
Fermi-level density of states = 3.38 states/eV/cell
Total energy = -33.450 eV for the cell shown
Space group = P2/m, No. 10
ΔE_f (raw) = -0.692 eV/atom
Magnetization = 0.00 μB/f.u.

***

9.
# BaLaZr2Tl

A relaxed structure of BaLaZr2Tl (PBE, Alexandria).

Unit cell a=5.5466 b=5.5466 c=6.2057 alpha=90.00 beta=90.00 gamma=90.00
Last column: nearest neighbours and their distance in Å.
Element x y z (fractional)
Ba  0.0000  0.0000  0.0000  2 Tl 3.10
La  0.5000  0.5000  0.0000  4 Ba 3.92, 8 Zr 4.16
Zr  0.0000  0.5000  0.5000  2 Tl 2.77
Zr  0.5000  0.0000  0.5000  2 Tl 2.77
Tl  0.0000  0.0000  0.5000  4 Zr 2.77, 2 Ba 3.10

## Properties
ΔH_f (0 K) = 0.808 eV/atom
Fermi-level density of states = 5.63 states/eV/cell
Total energy = -22.273 eV for the cell shown
Space group = P4/mmm, No. 123
Magnetization = 1.41 μB/f.u.

***

10.
# RbMn2NiP

A relaxed structure of RbMn2NiP (PBE, Alexandria).

Unit cell a=4.7264 b=4.7264 c=5.4257 alpha=90.00 beta=90.00 gamma=90.00
Last column: nearest neighbours and their distance in Å.
Element x y z (fractional)
Rb  0.0000  0.0000  0.0000  2 Ni 2.71
Mn  0.0000  0.5000  0.5000  2 Ni 2.36
Mn  0.5000  0.0000  0.5000  2 Ni 2.36
Ni  0.0000  0.0000  0.5000  4 Mn 2.36
P  0.5000  0.5000  0.0000  4 Rb 3.34, 8 Mn 3.60

## Properties
ΔH_f (0 K) = 1.092 eV/atom
Fermi-level density of states = 4.86 states/eV/cell
Total energy = -25.037 eV for the cell shown
Space group = P4/mmm, No. 123
Magnetization = 8.80 μB/f.u.